VASP calculation (PBE) on Ac2InNi6Ge after structural relaxation.

a = 6.354 Å, b = 6.354 Å, c = 8.306 Å
α = 126.35°, β = 126.35°, γ = 48.27°
Fractional coordinates of all 10 atoms:
1 Ac 0.240 0.240 0.282
2 Ac 0.760 0.760 0.718
3 In 0.000 0.000 0.500
4 Ni 0.222 0.716 0.208
5 Ni 0.251 0.251 0.915
6 Ni 0.284 0.778 0.792
7 Ni 0.716 0.222 0.208
8 Ni 0.749 0.749 0.085
9 Ni 0.778 0.284 0.792
10 Ge 0.500 0.500 0.000

Calculated values
Its symmetry is C2/m (12). For the formation enthalpy at 0 K, the calculation gives -0.32 eV/atom. For the total magnetization, the calculation gives 0.000 μB per atom.